VASP calculation (PBE) on a relaxed DyMgInS4 crystal.

## Properties
The value obtained for the formation energy without anion corrections is -1.333 eV per atom. The total energy comes out at -4.968 eV per atom. Its volume is 333 Å³/cell.

Lattice parameters (Å, degrees): 7.7681 7.7758 7.7758 60.21 60.03 60.03
Last column: nearest neighbours and their distance in Å.
Element x y z (fractional)
1 Dy 0.0000 0.5000 0.5000  6 S 2.72-2.73
2 Dy 0.0000 0.0000 0.0000  6 S 2.72-2.73
3 S 0.7476 0.7589 0.2589  1 In 2.52, 1 Mg 2.65, 2 Dy 2.72
4 S 0.7522 0.7704 0.7251  1 In 2.50, 2 Mg 2.63, 1 Dy 2.73
5 S 0.7522 0.2251 0.2704  1 In 2.50, 2 Mg 2.63, 1 Dy 2.73
6 S 0.7654 0.2411 0.7411  1 In 2.52, 1 Mg 2.65, 2 Dy 2.72
7 S 0.2478 0.7749 0.7296  1 In 2.50, 2 Mg 2.63, 1 Dy 2.73
8 S 0.2346 0.7589 0.2589  1 In 2.52, 1 Mg 2.65, 2 Dy 2.72
9 S 0.2524 0.2411 0.7411  1 In 2.52, 1 Mg 2.65, 2 Dy 2.72
10 S 0.2478 0.2296 0.2749  1 In 2.50, 2 Mg 2.63, 1 Dy 2.73
11 Mg 0.5000 0.0000 0.5000  6 S 2.63-2.65
12 Mg 0.0000 0.0000 0.5000  6 S 2.63-2.65
13 In 0.6319 0.6181 0.1181  4 S 2.50-2.52
14 In 0.3681 0.3819 0.8819  4 S 2.50-2.52

VASP calculation (PBE) on a relaxed DyMgScIn crystal.

## Properties
The total energy comes out at -4.117 eV per atom. Its formation energy is -300 meV/atom. Its volume is 98 Å³/cell. The calculation puts the density of states at the Fermi level at 3.01 states/eV per cell.

Lattice parameters (Å, degrees): 5.1687 5.1687 5.1687 60.00 60.00 60.00
Last column: nearest neighbours and their distance in Å.
Element x y z (fractional)
1 Sc 0.5000 0.5000 0.5000  4 In 3.17, 4 Mg 3.17
2 Dy 0.0000 0.0000 0.0000  4 Mg 3.17, 4 In 3.17
3 Mg 0.2500 0.2500 0.2500  4 Dy 3.17, 4 Sc 3.17
4 In 0.7500 0.7500 0.7500  4 Dy 3.17, 4 Sc 3.17

VASP calculation (PBE) on a relaxed DyMg2InSn crystal.

## Properties
The total energy comes out at -3.104 eV per atom. Its formation energy is -198 meV/atom. Its volume is 273 Å³/cell. The calculation puts the density of states at the Fermi level at 3.61 states/eV per cell.

Lattice parameters (Å, degrees): 3.5089 8.9631 8.8657 90.00 90.00 101.29
Last column: nearest neighbours and their distance in Å.
Element x y z (fractional)
1 In 0.0000 0.0000 0.5000  2 Mg 2.94, 4 Dy 3.22
2 In 0.0000 0.0000 0.0000  2 Mg 2.94, 4 Dy 3.22
3 Dy 0.5881 0.1762 0.2500  4 In 3.22, 2 Sn 3.25, 4 Mg 3.48, 2 Dy 3.51
4 Dy 0.4119 0.8238 0.7500  4 In 3.22, 2 Sn 3.25, 4 Mg 3.48, 2 Dy 3.51
5 Mg 0.8348 0.6696 0.0526  1 In 2.94, 3 Sn 2.95-3.02
6 Mg 0.8348 0.6696 0.4474  1 In 2.94, 3 Sn 2.95-3.02
7 Mg 0.1652 0.3304 0.9474  1 In 2.94, 3 Sn 2.95-3.02
8 Mg 0.1652 0.3304 0.5526  1 In 2.94, 3 Sn 2.95-3.02
9 Sn 0.2440 0.4880 0.2500  6 Mg 2.95-3.02, 2 Dy 3.25
10 Sn 0.7560 0.5120 0.7500  6 Mg 2.95-3.02, 2 Dy 3.25

VASP calculation (PBE) on a relaxed SrDyMg2In2 crystal.

## Properties
The total energy comes out at -2.836 eV per atom. Its formation energy is -345 meV/atom. Its volume is 171 Å³/cell. The calculation puts the density of states at the Fermi level at 3.26 states/eV per cell.

Lattice parameters (Å, degrees): 5.0224 5.0224 7.8228 90.00 90.00 120.00
Last column: nearest neighbours and their distance in Å.
Element x y z (fractional)
1 Mg 0.3333 0.6667 0.7041  3 In 2.90
2 Mg 0.6667 0.3333 0.2959  3 In 2.90
3 In 0.3333 0.6667 0.2876  3 Mg 2.90
4 In 0.6667 0.3333 0.7124  3 Mg 2.90
5 Dy 0.0000 0.0000 0.5000  6 Mg 3.31, 6 In 3.34
6 Sr 0.0000 0.0000 0.0000  6 In 3.67, 6 Mg 3.71, 2 Dy 3.91

VASP calculation (PBE) on a relaxed SrDyMg2In4 crystal.

## Properties
The total energy comes out at -2.835 eV per atom. Its formation energy is -281 meV/atom. Its volume is 211 Å³/cell. The calculation puts the density of states at the Fermi level at 3.41 states/eV per cell.

Lattice parameters (Å, degrees): 5.2712 5.2712 9.2857 73.51 73.51 60.00
Last column: nearest neighbours and their distance in Å.
Element x y z (fractional)
1 Mg 0.2490 0.2490 0.2531  8 In 3.20-3.44
2 Mg 0.7510 0.7510 0.7469  8 In 3.20-3.44
3 Sr 0.0000 0.0000 0.0000  8 In 3.28-3.35
4 In 0.1272 0.1272 0.6185  4 Mg 3.21-3.25, 3 Dy 3.22, 1 Sr 3.35
5 In 0.8728 0.8728 0.3815  4 Mg 3.21-3.25, 3 Dy 3.22, 1 Sr 3.35
6 In 0.6204 0.6204 0.1388  1 Dy 3.17, 4 Mg 3.20-3.44, 3 Sr 3.28
7 In 0.3796 0.3796 0.8612  1 Dy 3.17, 4 Mg 3.20-3.44, 3 Sr 3.28
8 Dy 0.5000 0.5000 0.5000  8 In 3.17-3.22

VASP calculation (PBE) on a relaxed TbDyMgIn crystal.

## Properties
The total energy comes out at -3.716 eV per atom. Its formation energy is -325 meV/atom. Its volume is 107 Å³/cell. The calculation puts the density of states at the Fermi level at 2.66 states/eV per cell.

Lattice parameters (Å, degrees): 5.3209 5.3209 5.3209 60.00 60.00 60.00
Last column: nearest neighbours and their distance in Å.
Element x y z (fractional)
1 Tb 0.2500 0.2500 0.2500  4 In 3.26, 4 Mg 3.26
2 Dy 0.7500 0.7500 0.7500  4 Mg 3.26, 4 In 3.26
3 Mg 0.0000 0.0000 0.0000  4 Dy 3.26, 4 Tb 3.26
4 In 0.5000 0.5000 0.5000  4 Tb 3.26, 4 Dy 3.26

VASP calculation (PBE) on a relaxed Dy3MgIn3Te8 crystal.

## Properties
The value obtained for the formation energy without anion corrections is -0.840 eV per atom. The total energy comes out at -4.090 eV per atom. Its volume is 505 Å³/cell. The calculation puts the density of states at the Fermi level at 7.49 states/eV per cell.

Lattice parameters (Å, degrees): 8.7377 8.7367 9.1587 118.53 90.00 120.00
Last column: nearest neighbours and their distance in Å.
Element x y z (fractional)
1 Mg 0.0000 0.0000 0.5000  6 Te 3.00
2 In 0.5000 0.5000 0.0000  6 Te 3.24-3.26
3 In 0.0000 0.0000 0.0000  6 Te 3.24-3.26
4 In 0.0000 0.5000 0.0000  6 Te 3.24-3.26
5 Te 0.7622 0.5245 0.2747  1 Mg 3.00, 2 Dy 3.08, 2 In 3.26
6 Te 0.7447 0.4893 0.7339  3 Dy 3.09, 3 In 3.24
7 Te 0.2499 0.0122 0.2749  1 Mg 3.00, 2 Dy 3.08, 2 In 3.26
8 Te 0.2553 0.5107 0.2661  3 Dy 3.09, 3 In 3.24
9 Te 0.7501 0.9878 0.7251  1 Mg 3.00, 2 Dy 3.08, 2 In 3.26
10 Te 0.2378 0.4755 0.7253  1 Mg 3.00, 2 Dy 3.08, 2 In 3.26
11 Te 0.2376 0.9878 0.7251  1 Mg 3.00, 2 Dy 3.08, 2 In 3.26
12 Te 0.7624 0.0122 0.2749  1 Mg 3.00, 2 Dy 3.08, 2 In 3.26
13 Dy 0.0000 0.5000 0.5000  6 Te 3.08-3.09
14 Dy 0.5000 0.5000 0.5000  6 Te 3.08-3.09
15 Dy 0.5000 0.0000 0.5000  6 Te 3.08-3.09

VASP calculation (PBE) on a relaxed Dy2MgIn3Te6 crystal.

## Properties
The value obtained for the formation energy without anion corrections is -0.799 eV per atom. The total energy comes out at -3.954 eV per atom. Its volume is 390 Å³/cell. The calculation puts the density of states at the Fermi level at 4.61 states/eV per cell.

Lattice parameters (Å, degrees): 7.6112 7.6112 8.1803 98.91 98.91 120.11
Last column: nearest neighbours and their distance in Å.
Element x y z (fractional)
1 Dy 0.3345 0.6655 0.0000  6 Te 3.09
2 Dy 0.6655 0.3345 0.0000  6 Te 3.09
3 In 0.8292 0.1708 0.5000  6 Te 3.31-3.34
4 In 0.5000 0.5000 0.5000  6 Te 3.32-3.35
5 In 0.1708 0.8292 0.5000  6 Te 3.31-3.34
6 Te 0.4022 0.0733 0.2224  1 Mg 3.04, 2 Dy 3.09, 3 In 3.31-3.32
7 Te 0.7467 0.7467 0.2248  1 Mg 3.05, 2 Dy 3.09, 3 In 3.34-3.35
8 Te 0.0733 0.4022 0.2224  1 Mg 3.04, 2 Dy 3.09, 3 In 3.31-3.32
9 Te 0.2533 0.2533 0.7752  1 Mg 3.05, 2 Dy 3.09, 3 In 3.34-3.35
10 Te 0.5978 0.9267 0.7776  1 Mg 3.04, 2 Dy 3.09, 3 In 3.31-3.32
11 Te 0.9267 0.5978 0.7776  1 Mg 3.04, 2 Dy 3.09, 3 In 3.31-3.32
12 Mg 0.0000 0.0000 0.0000  6 Te 3.04-3.05

VASP calculation (PBE) on a relaxed Dy2ThMg2In2 crystal.

## Properties
The total energy comes out at -3.780 eV per atom. Its formation energy is -167 meV/atom. Its volume is 192 Å³/cell. The calculation puts the density of states at the Fermi level at 4.50 states/eV per cell.

Lattice parameters (Å, degrees): 5.0360 5.0360 9.1979 74.11 74.11 60.00
Last column: nearest neighbours and their distance in Å.
Element x y z (fractional)
1 Dy 0.8699 0.8699 0.3902  3 Mg 3.28, 4 In 3.29-3.45, 1 Th 3.40, 3 Dy 3.48
2 Dy 0.1301 0.1301 0.6098  3 Mg 3.28, 4 In 3.29-3.45, 1 Th 3.40, 3 Dy 3.48
3 Mg 0.5942 0.5942 0.2173  3 In 2.91
4 Mg 0.4058 0.4058 0.7827  3 In 2.91
5 In 0.2619 0.2619 0.2143  3 Mg 2.91
6 In 0.7381 0.7381 0.7857  3 Mg 2.91
7 Th 0.0000 0.0000 0.0000  2 Dy 3.40, 6 In 3.46, 6 Mg 3.47

VASP calculation (PBE) on a relaxed DyMgTiIn crystal.

## Properties
The total energy comes out at -4.278 eV per atom. Its formation energy is -71 meV/atom. Its volume is 91 Å³/cell. The calculation puts the density of states at the Fermi level at 4.06 states/eV per cell.

Lattice parameters (Å, degrees): 5.0443 5.0443 5.0443 60.00 60.00 60.00
Last column: nearest neighbours and their distance in Å.
Element x y z (fractional)
1 In 0.7500 0.7500 0.7500  4 Dy 3.09, 4 Ti 3.09
2 Dy 0.5000 0.5000 0.5000  4 In 3.09, 4 Mg 3.09
3 Mg 0.2500 0.2500 0.2500  4 Ti 3.09, 4 Dy 3.09
4 Ti 0.0000 0.0000 0.0000  4 Mg 3.09, 4 In 3.09

VASP calculation (PBE) on a relaxed DyMgTlIn crystal.

## Properties
The total energy comes out at -3.144 eV per atom. Its formation energy is -319 meV/atom. As for the energy relative to the lowest polymorph listed for this composition: 0 meV/atom. Its volume is 99 Å³/cell. The calculation puts the density of states at the Fermi level at 2.30 states/eV per cell.

Lattice parameters (Å, degrees): 4.5073 4.6960 4.6645 90.00 90.00 90.00
Last column: nearest neighbours and their distance in Å.
Element x y z (fractional)
1 Tl 0.0000 0.0000 0.0000  4 Mg 3.24, 4 Dy 3.25, 4 In 3.31
2 Dy 0.5000 0.5000 0.0000  4 In 3.24, 4 Tl 3.25, 4 Mg 3.31
3 In 0.0000 0.5000 0.5000  4 Dy 3.24, 4 Mg 3.25, 4 Tl 3.31
4 Mg 0.5000 0.0000 0.5000  4 Tl 3.24, 4 In 3.25, 4 Dy 3.31